Entry 1:
Entry from Alexandria via LeMat-Bulk: a relaxed structure of Pb4Au2Cl (PBE).

formation energy from raw total energies	0.071	eV/atom
calculated volume	32.581	Å³ per atom
SG	No. 139

Cell lengths 5.504, 5.504, 15.058 Å; angles 90.00, 90.00, 90.00 degrees
Element x y z (fractional)
Pb  0.000  0.000  0.222
Pb  0.000  0.000  0.778
Pb  0.000  0.500  0.000
Pb  0.000  0.500  0.500
Pb  0.500  0.000  0.000
Pb  0.500  0.000  0.500
Pb  0.500  0.500  0.278
Pb  0.500  0.500  0.722
Au  0.000  0.000  0.404
Au  0.000  0.000  0.596
Au  0.500  0.500  0.096
Au  0.500  0.500  0.904
Cl  0.000  0.000  0.000
Cl  0.500  0.500  0.500


Entry 2:
Entry from Alexandria via LeMat-Bulk: a relaxed structure of VTe2 (PBE).

formation energy from raw total energies	-0.268	eV/atom
calculated volume	25.066	Å³ per atom
SG	No. 62

Cell lengths 13.167, 3.714, 6.150 Å; angles 90.00, 90.00, 90.00 degrees
Element x y z (fractional)
V  0.119  0.250  0.013
V  0.381  0.750  0.513
V  0.619  0.250  0.487
V  0.881  0.750  0.987
Te  0.049  0.750  0.732
Te  0.204  0.750  0.277
Te  0.296  0.250  0.777
Te  0.451  0.250  0.232
Te  0.549  0.750  0.768
Te  0.704  0.750  0.223
Te  0.796  0.250  0.723
Te  0.951  0.250  0.268


Entry 3:
Entry from Alexandria via LeMat-Bulk: a relaxed structure of Pr3CdAg3 (PBE).

calculated volume	26.532	Å³ per atom
SG	No. 44
formation energy from the elements	-0.252	eV per atom

Cell lengths 3.637, 4.880, 20.928 Å; angles 90.00, 90.00, 90.00 degrees
Element x y z (fractional)
Pr  0.000  0.000  0.000
Pr  0.000  0.000  0.388
Pr  0.000  0.500  0.187
Pr  0.500  0.000  0.687
Pr  0.500  0.500  0.500
Pr  0.500  0.500  0.888
Cd  0.000  0.500  0.758
Cd  0.500  0.000  0.258
Ag  0.000  0.000  0.550
Ag  0.000  0.000  0.833
Ag  0.000  0.500  0.624
Ag  0.500  0.000  0.124
Ag  0.500  0.500  0.050
Ag  0.500  0.500  0.333


Entry 4:
Entry from Alexandria via LeMat-Bulk: a relaxed structure of Nd2U2Pt15 (PBE).

calculated volume	18.409	Å³ per atom
SG	No. 166
formation energy from the elements	-0.647	eV per atom

Cell lengths 7.108, 7.108, 7.108 Å; angles 82.08, 82.08, 82.08 degrees
Element x y z (fractional)
Nd  0.146  0.146  0.146
Nd  0.854  0.854  0.854
U  0.414  0.414  0.414
U  0.586  0.586  0.586
Pt  0.000  0.500  0.500
Pt  0.158  0.158  0.660
Pt  0.158  0.660  0.158
Pt  0.182  0.500  0.818
Pt  0.182  0.818  0.500
Pt  0.340  0.842  0.842
Pt  0.500  0.000  0.500
Pt  0.500  0.182  0.818
Pt  0.500  0.500  0.000
Pt  0.500  0.818  0.182
Pt  0.660  0.158  0.158
Pt  0.818  0.182  0.500
Pt  0.818  0.500  0.182
Pt  0.842  0.340  0.842
Pt  0.842  0.842  0.340


Entry 5:
Entry from Alexandria via LeMat-Bulk: a relaxed structure of Er8Hg2Bi (PBE).

calculated volume	29.583	Å³ per atom
SG	No. 12
formation energy from the elements	-0.187	eV per atom

Cell lengths 8.275, 8.275, 5.614 Å; angles 99.91, 99.91, 116.40 degrees
Element x y z (fractional)
Er  0.092  0.327  0.614
Er  0.233  0.767  0.000
Er  0.327  0.092  0.614
Er  0.403  0.403  0.203
Er  0.597  0.597  0.797
Er  0.673  0.908  0.386
Er  0.767  0.233  0.000
Er  0.908  0.673  0.386
Hg  0.303  0.697  0.500
Hg  0.697  0.303  0.500
Bi  0.000  0.000  0.000


Entry 6:
Entry from Alexandria via LeMat-Bulk: a relaxed structure of PaCu4Sb (PBE).

formation energy from raw total energies	0.026	eV/atom
calculated volume	16.628	Å³ per atom
SG	No. 216

Cell lengths 5.206, 5.206, 5.206 Å; angles 60.00, 60.00, 60.00 degrees
Element x y z (fractional)
Pa  0.000  0.000  0.000
Cu  0.122  0.626  0.626
Cu  0.626  0.122  0.626
Cu  0.626  0.626  0.122
Cu  0.626  0.626  0.626
Sb  0.250  0.250  0.250


Entry 7:
Entry from Alexandria via LeMat-Bulk: a relaxed structure of PaNiH (PBE).

calculated volume	13.658	Å³ per atom
SG	No. 62
polymorph energy (0 for the lowest one)	0.00	kJ per mole of atoms

Cell lengths 6.691, 4.152, 5.899 Å; angles 90.00, 90.00, 90.00 degrees
Element x y z (fractional)
Pa  0.172  0.250  0.124
Pa  0.328  0.750  0.624
Pa  0.672  0.250  0.376
Pa  0.828  0.750  0.876
Ni  0.031  0.250  0.627
Ni  0.469  0.750  0.127
Ni  0.531  0.250  0.873
Ni  0.969  0.750  0.373
H  0.222  0.750  0.255
H  0.278  0.250  0.755
H  0.722  0.750  0.245
H  0.778  0.250  0.745


Entry 8:
Entry from Alexandria via LeMat-Bulk: a relaxed structure of RbCaCl3 (PBE).

formation energy from raw total energies	-2.182	eV/atom
calculated volume	35.225	Å³ per atom
SG	No. 227

Cell lengths 9.988, 9.988, 9.988 Å; angles 60.00, 60.00, 60.00 degrees
Element x y z (fractional)
Rb  0.000  0.000  0.000
Rb  0.000  0.000  0.500
Rb  0.000  0.500  0.000
Rb  0.500  0.000  0.000
Ca  0.000  0.500  0.500
Ca  0.500  0.000  0.500
Ca  0.500  0.500  0.000
Ca  0.500  0.500  0.500
Cl  0.167  0.167  0.583
Cl  0.167  0.583  0.167
Cl  0.167  0.583  0.583
Cl  0.417  0.417  0.833
Cl  0.417  0.833  0.417
Cl  0.417  0.833  0.833
Cl  0.583  0.167  0.167
Cl  0.583  0.167  0.583
Cl  0.583  0.583  0.167
Cl  0.833  0.417  0.417
Cl  0.833  0.417  0.833
Cl  0.833  0.833  0.417


Which value of calculated volume does entry 4 give? 18.409 Å³ per atom